Entry 1:
First-principles (PBE-GGA) data for a geometry-optimized TaReAs structure, as listed in Alexandria.

The density of states at the Fermi level comes out at 4.2 states/eV per cell. The total moment comes out at 0.00 μB/f.u. The calculated formation energy comes out at 0.182 eV/atom.

The space group is Imm2 (No. 44) and the conventional cell measures 3.092, 3.922 and 8.110 Å, with angles of 90.00, 90.00 and 90.00 degrees. The inequivalent atoms are Ta at (0.000, 0.000, 0.000), Re at (0.000, 0.000, 0.342) and As at (0.000, 0.000, 0.673).


Entry 2:
First-principles (PBE-GGA) data for a geometry-optimized Ta2ReAs structure, as listed in Alexandria.

The density of states at the Fermi level comes out at 22.7 states/eV per cell. The total moment comes out at 0.00 μB/f.u. The calculated formation energy comes out at 0.240 eV/atom.

The space group is F-43m (No. 216) and the conventional cell measures 6.416, 6.416 and 6.416 Å, with angles of 90.00, 90.00 and 90.00 degrees. The inequivalent atoms are Ta at (0.000, 0.000, 0.000), Ta at (0.250, 0.250, 0.250), Re at (0.000, 0.000, 0.500) and As at (0.250, 0.250, 0.750).


Entry 3:
First-principles (PBE-GGA) data for a geometry-optimized Ta2ReAs structure, as listed in Alexandria.

The density of states at the Fermi level comes out at 9.1 states/eV per cell. The total moment comes out at 0.00 μB/f.u. The calculated formation energy comes out at 0.080 eV/atom.

The space group is R-3m (No. 166, hexagonal axes) and the conventional cell measures 3.2364, 3.2364 and 23.2165 Å, with angles of 90.00, 90.00 and 120.00 degrees. The inequivalent atoms are Ta at (0.0000, 0.0000, 0.2488), Re at (0.0000, 0.0000, 0.0000) and As at (0.0000, 0.0000, 0.5000).


Entry 4:
First-principles (PBE-GGA) data for a geometry-optimized Ta2ReAs structure, as listed in Alexandria.

The density of states at the Fermi level comes out at 3.1 states/eV per cell. The total moment comes out at 0.00 μB/f.u. The calculated formation energy comes out at 0.029 eV/atom.

The space group is Pmmm (No. 47) and the conventional cell measures 3.363, 4.260 and 4.628 Å, with angles of 90.00, 90.00 and 90.00 degrees. The inequivalent atoms are Ta at (0.000, 0.000, 0.000), Ta at (0.500, 0.000, 0.500), Re at (0.000, 0.500, 0.500) and As at (0.500, 0.500, 0.000).


Entry 5:
First-principles (PBE-GGA) data for a geometry-optimized Ta4ReAs structure, as listed in Alexandria.

The density of states at the Fermi level comes out at 9.2 states/eV per cell. The total moment comes out at 0.00 μB/f.u. The calculated formation energy comes out at 0.550 eV/atom.

The space group is F-43m (No. 216) and the conventional cell measures 7.583, 7.583 and 7.583 Å, with angles of 90.00, 90.00 and 90.00 degrees. The inequivalent atoms are Ta at (0.125, 0.125, 0.125), Re at (0.000, 0.000, 0.500) and As at (0.250, 0.250, 0.750).


Entry 6:
First-principles (PBE-GGA) data for a geometry-optimized Ta2ReAs structure, as listed in Alexandria.

The density of states at the Fermi level comes out at 3.3 states/eV per cell. The total moment comes out at 0.00 μB/f.u. The calculated formation energy comes out at 0.008 eV/atom.

The space group is P4mm (No. 99) and the conventional cell measures 3.306, 3.306 and 6.187 Å, with angles of 90.00, 90.00 and 90.00 degrees. The inequivalent atoms are Ta at (0.000, 0.000, 0.000), Ta at (0.500, 0.500, 0.299), Re at (0.500, 0.500, 0.784) and As at (0.000, 0.000, 0.507).


Entry 7:
First-principles (PBE-GGA) data for a geometry-optimized Ta2ReAs2 structure, as listed in Alexandria.

The density of states at the Fermi level comes out at 9.8 states/eV per cell. The total moment comes out at 0.00 μB/f.u. The calculated formation energy comes out at 0.063 eV/atom.

The space group is P4/mbm (No. 127) and the conventional cell measures 6.950, 6.950 and 3.393 Å, with angles of 90.00, 90.00 and 90.00 degrees. The inequivalent atoms are Ta at (0.147, 0.353, 0.000), Re at (0.000, 0.000, 0.500) and As at (0.152, 0.652, 0.500).


Entry 8:
First-principles (PBE-GGA) data for a geometry-optimized TaReAs structure, as listed in Alexandria.

The density of states at the Fermi level comes out at 6.2 states/eV per cell. The total moment comes out at 0.00 μB/f.u. The calculated formation energy comes out at 0.468 eV/atom.

The space group is F-43m (No. 216) and the conventional cell measures 6.120, 6.120 and 6.120 Å, with angles of 90.00, 90.00 and 90.00 degrees. The inequivalent atoms are Ta at (0.000, 0.000, 0.000), Re at (0.250, 0.250, 0.750) and As at (0.250, 0.250, 0.250).